Sc3FeF | PBE+U | optimized geometry

a b c (Å): 4.806 4.806 4.806
angles (deg): 90.00 90.00 90.00
Fractional coordinates of all 5 atoms:
Sc 0.000 0.000 0.500
Sc 0.000 0.500 0.000
Sc 0.500 0.000 0.000
Fe 0.000 0.000 0.000
F 0.500 0.500 0.500

magnetization: 0.014 μB per formula unit
ΔE to the lowest computed polymorph: 941.0 meV per atom
calculated volume: 111 Å³ per cell